Entry from Alexandria: a relaxed CsVHg2O4 crystal (PBE with a Hubbard U).

abc: 6.4574 6.4574 5.9164
angles: 122.51 122.51 90.87
Last column: nearest neighbours and their distance in Å.
Atoms (fractional coordinates):
Cs: 0.0008 0.0008 0.0016  8 O 3.12-3.32
V: 0.5014 0.5014 0.0029  4 O 1.75-1.77
Hg: 0.7451 0.2451 0.4902  4 O 2.56-2.62
Hg: 0.2451 0.7451 0.4902  4 O 2.56-2.62
O: 0.5243 0.5243 0.7345  1 V 1.75
O: 0.4801 0.7933 0.2734  1 V 1.77
O: 0.7933 0.4801 0.2734  1 V 1.77
O: 0.2102 0.2102 0.7345  1 V 1.75

Computed properties:
* N(E_F): 2.82 states/eV per cell
* symmetry: No. 42
* uncorrected energy: -4.733 eV per atom